Record 1
SrZn2GaTc: optimized geometry, PBE-GGA.

abc: 4.9172 4.9172 4.8039
angles: 90.00 90.00 90.00
With the nearest neighbours (Å) after each atom.
Fractional positions:
Sr (0.0000, 0.0000, 0.0000)  8 Zn 3.44, 4 Ga 3.48
Zn (0.0000, 0.5000, 0.5000)  2 Tc 2.46
Zn (0.5000, 0.0000, 0.5000)  2 Tc 2.46
Ga (0.5000, 0.5000, 0.0000)  2 Tc 2.40
Tc (0.5000, 0.5000, 0.5000)  2 Ga 2.40, 4 Zn 2.46

Summary:
calculated formation energy	-0.085	eV/atom
total magnetization	0.00	Bohr magnetons per cell
DFT total energy	-3.609	eV per atom

Record 2
SrGa2Te4: optimized geometry, PBE-GGA.

abc: 6.8209 6.8209 11.8961
angles: 90.00 90.00 120.19
With the nearest neighbours (Å) after each atom.
Fractional positions:
Sr (0.0000, 0.0000, 0.2500)  8 Te 3.49-3.53
Sr (0.0000, 0.0000, 0.7500)  8 Te 3.49-3.53
Ga (0.2582, 0.7386, 0.0000)  4 Te 2.66-2.69
Ga (0.2614, 0.7418, 0.5000)  4 Te 2.66-2.69
Ga (0.7386, 0.2582, 0.5000)  4 Te 2.66-2.69
Ga (0.7418, 0.2614, 0.0000)  4 Te 2.66-2.69
Te (0.0000, 0.5000, 0.1739)  2 Ga 2.67
Te (0.0000, 0.5000, 0.8261)  2 Ga 2.67
Te (0.1565, 0.3096, 0.5000)  2 Ga 2.66-2.69
Te (0.3096, 0.1565, 0.0000)  2 Ga 2.66-2.69
Te (0.5000, 0.0000, 0.3261)  2 Ga 2.67
Te (0.5000, 0.0000, 0.6739)  2 Ga 2.67
Te (0.6904, 0.8435, 0.0000)  2 Ga 2.66-2.69
Te (0.8435, 0.6904, 0.5000)  2 Ga 2.66-2.69

Summary:
formation energy from raw total energies	-0.748	eV/atom
total magnetization	0.00	Bohr magnetons per cell
DFT total energy	-3.649	eV per atom

Record 3
SrGaTe: optimized geometry, PBE-GGA.

abc: 9.6565 9.6565 9.6565
angles: 152.11 150.99 40.67
With the nearest neighbours (Å) after each atom.
Fractional positions:
Sr (0.1474, 0.1474, 0.0000)  5 Te 3.37, 4 Ga 3.75
Sr (0.8526, 0.8526, 0.0000)  5 Te 3.37, 4 Ga 3.75
Ga (0.2544, 0.5000, 0.7544)  2 Ga 2.38-2.46
Ga (0.7456, 0.5000, 0.2456)  2 Ga 2.38-2.46
Te (0.3335, 0.3335, 0.0000)  2 Ga 3.24, 5 Sr 3.37
Te (0.6665, 0.6665, 0.0000)  2 Ga 3.24, 5 Sr 3.37

Summary:
formation energy from raw total energies	-0.836	eV/atom
total magnetization	0.00	Bohr magnetons per cell
DFT total energy	-3.453	eV per atom

Record 4
SrGa2Te4: optimized geometry, PBE-GGA.

abc: 6.8154 6.8154 6.8154
angles: 104.20 104.20 120.61
With the nearest neighbours (Å) after each atom.
Fractional positions:
Sr (0.0000, 0.0000, 0.0000)  8 Te 3.52
Ga (0.0000, 0.5000, 0.5000)  4 Te 2.67
Ga (0.5000, 0.0000, 0.5000)  4 Te 2.67
Te (0.0750, 0.5750, 0.1500)  2 Ga 2.67
Te (0.4250, 0.9250, 0.8500)  2 Ga 2.67
Te (0.5750, 0.4250, 0.5000)  2 Ga 2.67
Te (0.9250, 0.0750, 0.5000)  2 Ga 2.67

Summary:
formation energy from raw total energies	-0.736	eV/atom
total magnetization	0.00	Bohr magnetons per cell
DFT total energy	-3.636	eV per atom

Record 5
SrGa2Te3: optimized geometry, PBE-GGA.

abc: 12.0984 12.0984 10.0036
angles: 113.01 113.01 20.93
With the nearest neighbours (Å) after each atom.
Fractional positions:
Sr (0.1643, 0.1643, 0.0090)  6 Te 3.29-3.53
Sr (0.8357, 0.8357, 0.9910)  6 Te 3.29-3.53
Ga (0.2651, 0.2651, 0.4147)  3 Te 2.98-3.12, 2 Ga 3.04
Ga (0.4334, 0.4334, 0.8421)  4 Te 2.69-2.71
Ga (0.5666, 0.5666, 0.1579)  4 Te 2.69-2.71
Ga (0.7349, 0.7349, 0.5853)  3 Te 2.98-3.12, 2 Ga 3.04
Te (0.1230, 0.1230, 0.3112)  2 Ga 2.71
Te (0.2357, 0.2357, 0.7870)  2 Ga 2.98, 3 Sr 3.29
Te (0.4483, 0.4483, 0.1230)  2 Ga 2.69
Te (0.5517, 0.5517, 0.8770)  2 Ga 2.69
Te (0.7643, 0.7643, 0.2130)  2 Ga 2.98, 3 Sr 3.29
Te (0.8770, 0.8770, 0.6888)  2 Ga 2.71

Summary:
formation energy from raw total energies	-0.667	eV/atom
total magnetization	0.00	Bohr magnetons per cell
DFT total energy	-3.527	eV per atom

Record 6
Sr2Ga2Te: optimized geometry, PBE-GGA.

abc: 8.1103 8.1103 4.5860
angles: 90.00 90.00 90.00
With the nearest neighbours (Å) after each atom.
Fractional positions:
Sr (0.1816, 0.3184, 0.0000)  6 Ga 3.29-3.35
Sr (0.3184, 0.8184, 0.0000)  6 Ga 3.29-3.35
Sr (0.6816, 0.1816, 0.0000)  6 Ga 3.29-3.35
Sr (0.8184, 0.6816, 0.0000)  6 Ga 3.29-3.35
Ga (0.1122, 0.6122, 0.5000)  1 Ga 2.57
Ga (0.3878, 0.1122, 0.5000)  1 Ga 2.57
Ga (0.6122, 0.8878, 0.5000)  1 Ga 2.57
Ga (0.8878, 0.3878, 0.5000)  1 Ga 2.57
Te (0.0000, 0.0000, 0.5000)  4 Ga 3.27
Te (0.5000, 0.5000, 0.5000)  4 Ga 3.27

Summary:
formation energy from raw total energies	-0.579	eV/atom
total magnetization	0.00	Bohr magnetons per cell
DFT total energy	-3.090	eV per atom